First-principles (PBE-GGA) data for a relaxed SiAgRh2 crystal, as listed in Alexandria via LeMat-Bulk.

Cell lengths 6.912, 6.912, 5.320 Å; angles 90.00, 90.00, 90.00 degrees
Space group I-42d (No. 122)
Asymmetric unit:
Si1 0.000 0.000 0.000 x4
Ag1 0.000 0.000 0.500 x4
Rh1 0.192 0.250 0.125 x8

Calculated volume, A^3/atom: 15.88
Energy, eV per cell: -93.96
D(E_F), states/eV/cell: 8.49
Energy relative to the elements, uncorrected, eV/atom: -0.128